*A*
FeNi6Sn, relaxed, DFT GGA-PBE; V = 12.1 Å³/atom; ρ = 9.04 g cm⁻³
1.0
-2.523 -5.436 -1.970
2.313 -0.735 5.823
-9.110 2.789 3.970
Ni Fe Sn
24 4 4
Direct
0.745 0.255 0.240
0.255 0.745 0.760
0.255 0.745 0.240
0.619 0.863 0.369
0.000 0.000 0.000
0.381 0.137 0.631
0.137 0.381 0.369
0.614 0.871 0.880
0.500 0.500 0.000
0.000 0.000 0.500
0.871 0.614 0.120
0.129 0.386 0.120
0.614 0.871 0.120
0.863 0.619 0.369
0.500 0.500 0.500
0.863 0.619 0.631
0.871 0.614 0.880
0.129 0.386 0.880
0.386 0.129 0.880
0.137 0.381 0.631
0.381 0.137 0.369
0.386 0.129 0.120
0.619 0.863 0.631
0.745 0.255 0.760
0.500 0.500 0.245
0.500 0.500 0.755
0.750 0.250 0.000
0.250 0.750 0.000
0.247 0.753 0.500
0.000 0.000 0.754
0.000 0.000 0.246
0.753 0.247 0.500

=====

*B*
FeNi6Sn, relaxed, DFT GGA-PBE; V = 12.1 Å³/atom; ρ = 9.04 g cm⁻³
1.0
4.164 0.000 0.000
0.000 5.177 -0.167
0.000 -2.442 4.568
Ni Sn Fe
6 1 1
Direct
0.000 0.592 0.934
0.500 0.417 0.084
0.000 0.592 0.408
0.500 0.916 0.084
0.000 0.066 0.408
0.500 0.916 0.583
0.500 0.417 0.583
0.000 0.083 0.917

=====

Which of them is the least stable? Correct choice: *B*.

=====

*A*
SrFe3Ni, relaxed, DFT GGA-PBE; V = 20.1 Å³/atom; ρ = 5.19 g cm⁻³
1.0
-2.995 -3.298 -1.327
3.552 -2.712 -1.277
0.132 -1.837 4.268
Sr Fe Ni
1 3 1
Direct
0.000 0.000 0.000
0.000 0.500 0.000
0.000 0.000 0.500
0.500 0.000 0.000
0.500 0.500 0.500

=====

*B*
SrFe3Ni, relaxed, DFT GGA-PBE; V = 19.0 Å³/atom; ρ = 5.49 g cm⁻³
1.0
4.561 0.000 0.000
0.000 4.561 0.000
0.000 0.000 4.561
Fe Ni Sr
3 1 1
Direct
0.500 0.000 0.000
0.000 0.000 0.500
0.000 0.500 0.000
0.000 0.000 0.000
0.500 0.500 0.500

=====

Which of them is the least stable? Correct choice: *A*.

=====

*A*
SrFeNi, relaxed, DFT GGA-PBE; V = 22.7 Å³/atom; ρ = 4.93 g cm⁻³
1.0
4.584 0.000 0.000
2.292 3.970 0.000
2.292 1.323 3.743
Sr Fe Ni
1 1 1
Direct
0.000 0.000 0.000
0.500 0.500 0.500
0.750 0.750 0.750

=====

*B*
SrFeNi, relaxed, DFT GGA-PBE; V = 25.4 Å³/atom; ρ = 4.40 g cm⁻³
1.0
4.762 0.000 0.000
2.381 4.124 0.000
2.381 1.375 3.888
Sr Ni Fe
1 1 1
Direct
0.750 0.750 0.750
0.500 0.500 0.500
0.000 0.000 0.000

=====

Which of them is the least stable? Correct choice: *B*.

=====

*A*
TaFeNi4, relaxed, DFT GGA-PBE; V = 11.9 Å³/atom; ρ = 10.95 g cm⁻³
1.0
-1.663 3.695 -0.284
-0.979 -2.880 -2.693
-3.769 -1.471 2.945
Fe Ni Ta
1 4 1
Direct
0.000 0.500 0.000
0.333 0.166 0.239
0.334 0.167 0.761
0.667 0.834 0.761
0.666 0.833 0.239
0.000 0.500 0.500

=====

*B*
TaFeNi4, relaxed, DFT GGA-PBE; V = 12.1 Å³/atom; ρ = 10.75 g cm⁻³
1.0
-3.334 0.284 3.283
-4.049 -2.293 -0.566
-0.979 -3.723 2.675
Ni Fe Ta
4 1 1
Direct
0.626 0.626 0.123
0.123 0.626 0.626
0.626 0.626 0.626
0.626 0.123 0.626
0.000 0.000 0.000
0.250 0.250 0.250

=====

Which of them is the least stable? Correct choice: *A*.

=====

*A*
TaFeNi6, relaxed, DFT GGA-PBE; V = 11.8 Å³/atom; ρ = 10.36 g cm⁻³
1.0
-1.939 3.842 4.550
-4.513 -4.142 -1.303
3.824 -6.372 7.011
Ni Ta Fe
24 4 4
Direct
0.870 0.623 0.123
0.500 0.500 0.750
0.130 0.377 0.123
0.748 0.252 0.997
0.748 0.252 0.503
0.870 0.623 0.377
0.377 0.130 0.123
0.873 0.620 0.627
0.252 0.748 0.503
0.873 0.620 0.873
0.377 0.130 0.377
0.620 0.873 0.873
0.127 0.380 0.627
0.000 0.000 0.750
0.130 0.377 0.377
0.252 0.748 0.997
0.500 0.500 0.250
0.000 0.000 0.250
0.623 0.870 0.123
0.620 0.873 0.627
0.623 0.870 0.377
0.380 0.127 0.627
0.127 0.380 0.873
0.380 0.127 0.873
0.246 0.754 0.250
0.754 0.246 0.250
0.000 0.000 0.505
0.000 0.000 0.995
0.500 0.500 0.993
0.246 0.754 0.750
0.500 0.500 0.507
0.754 0.246 0.750

=====

*B*
TaFeNi6, relaxed, DFT GGA-PBE; V = 13.3 Å³/atom; ρ = 9.19 g cm⁻³
1.0
4.284 0.736 -0.015
1.056 4.217 -0.015
1.505 1.396 6.147
Ni Fe Ta
6 1 1
Direct
0.940 0.457 0.703
0.060 0.543 0.297
0.358 0.358 0.938
0.457 0.940 0.703
0.642 0.642 0.062
0.543 0.060 0.297
0.000 0.000 0.000
0.500 0.500 0.500

=====

Which of them is the least stable? Correct choice: *B*.

=====

*A*
FeTcNi3, relaxed, DFT GGA-PBE; V = 14.1 Å³/atom; ρ = 7.76 g cm⁻³
1.0
4.134 0.000 0.000
0.000 4.134 0.000
0.000 0.000 4.134
Ni Tc Fe
3 1 1
Direct
0.000 0.500 0.000
0.500 0.000 0.000
0.000 0.000 0.500
0.500 0.500 0.500
0.000 0.000 0.000

=====

*B*
FeTcNi3, relaxed, DFT GGA-PBE; V = 12.1 Å³/atom; ρ = 9.08 g cm⁻³
1.0
-1.137 -0.460 4.311
-4.163 1.901 -0.895
-0.525 -6.375 1.045
Ni Fe Tc
6 2 2
Direct
0.365 0.594 0.699
0.000 0.000 0.000
0.500 0.000 0.000
0.635 0.895 0.301
0.635 0.406 0.301
0.365 0.105 0.699
0.797 0.444 0.888
0.203 0.556 0.112
0.911 0.795 0.591
0.089 0.205 0.409

=====

Which of them is the least stable? Correct choice: *A*.

=====

*A*
Fe3TcNi, relaxed, DFT GGA-PBE; V = 15.4 Å³/atom; ρ = 6.99 g cm⁻³
1.0
4.256 0.000 0.000
0.000 4.256 0.000
0.000 0.000 4.256
Fe Tc Ni
3 1 1
Direct
0.000 0.500 0.000
0.000 0.000 0.500
0.500 0.000 0.000
0.500 0.500 0.500
0.000 0.000 0.000

=====

*B*
Fe3TcNi, relaxed, DFT GGA-PBE; V = 16.9 Å³/atom; ρ = 6.38 g cm⁻³
1.0
4.386 0.000 0.000
0.000 4.386 0.000
0.000 0.000 4.386
Fe Ni Tc
3 1 1
Direct
0.000 0.000 0.500
0.500 0.000 0.000
0.000 0.500 0.000
0.500 0.500 0.500
0.000 0.000 0.000

=====

Which of them is the least stable? Correct choice: *B*.

=====

*A*
FeTcNi6, relaxed, DFT GGA-PBE; V = 11.5 Å³/atom; ρ = 9.11 g cm⁻³
1.0
3.566 0.000 0.000
0.000 5.085 -0.032
0.000 0.033 5.085
Tc Ni Fe
1 6 1
Direct
0.500 0.500 0.500
0.000 0.752 0.248
0.000 0.248 0.248
0.000 0.752 0.752
0.500 0.000 0.500
0.500 0.500 0.000
0.000 0.248 0.752
0.500 0.000 0.000

=====

*B*
FeTcNi6, relaxed, DFT GGA-PBE; V = 11.5 Å³/atom; ρ = 9.10 g cm⁻³
1.0
6.212 -0.002 0.000
-2.068 5.858 0.000
0.000 0.000 10.145
Ni Tc Fe
24 4 4
Direct
0.500 0.500 0.250
0.378 0.128 0.377
0.000 0.000 0.750
0.378 0.127 0.873
0.127 0.378 0.627
0.251 0.749 0.998
0.622 0.873 0.873
0.500 0.500 0.750
0.872 0.622 0.123
0.749 0.251 0.502
0.127 0.378 0.873
0.128 0.378 0.377
0.873 0.622 0.627
0.622 0.873 0.627
0.622 0.872 0.123
0.749 0.251 0.998
0.251 0.749 0.502
0.873 0.622 0.873
0.622 0.872 0.377
0.000 0.000 0.250
0.128 0.378 0.123
0.378 0.127 0.627
0.378 0.128 0.123
0.872 0.622 0.377
0.248 0.752 0.250
0.000 0.000 0.502
0.000 0.000 0.998
0.752 0.248 0.250
0.500 0.500 0.997
0.500 0.500 0.503
0.752 0.248 0.750
0.248 0.752 0.750

=====

Which of them is the least stable? Correct choice: *A*.

=====

*A*
FeTc2Ni2, relaxed, DFT GGA-PBE; V = 14.2 Å³/atom; ρ = 8.64 g cm⁻³
1.0
-1.746 1.746 5.825
1.746 -1.746 5.825
1.746 1.746 -5.825
Ni Fe Tc
2 1 2
Direct
0.406 0.406 0.000
0.594 0.594 0.000
0.000 0.000 0.000
0.750 0.250 0.500
0.250 0.750 0.500

=====

*B*
FeTc2Ni2, relaxed, DFT GGA-PBE; V = 12.7 Å³/atom; ρ = 9.64 g cm⁻³
1.0
6.804 0.000 0.000
0.000 6.804 0.000
0.000 0.000 2.746
Ni Fe Tc
4 2 4
Direct
0.379 0.879 0.000
0.121 0.379 0.000
0.621 0.121 0.000
0.879 0.621 0.000
0.500 0.500 0.000
0.000 0.000 0.000
0.823 0.323 0.500
0.177 0.677 0.500
0.677 0.823 0.500
0.323 0.177 0.500

=====

Which of them is the least stable? Correct choice: *A*.

=====

*A*
Fe3NiTe, relaxed, DFT GGA-PBE; V = 17.1 Å³/atom; ρ = 6.86 g cm⁻³
1.0
-0.824 -4.314 -0.376
1.417 0.093 -4.173
4.092 -0.901 1.369
Fe Ni Te
3 1 1
Direct
0.500 0.000 0.000
0.000 0.500 0.000
0.000 0.000 0.500
0.000 0.000 0.000
0.500 0.500 0.500

=====

*B*
Fe3NiTe, relaxed, DFT GGA-PBE; V = 20.4 Å³/atom; ρ = 5.76 g cm⁻³
1.0
4.673 0.000 0.000
0.000 4.673 0.000
0.000 0.000 4.673
Fe Te Ni
3 1 1
Direct
0.000 0.000 0.500
0.000 0.500 0.000
0.500 0.000 0.000
0.000 0.000 0.000
0.500 0.500 0.500

=====

Which of them is the least stable? Correct choice: *B*.

=====

*A*
TiFeNi6, relaxed, DFT GGA-PBE; V = 11.4 Å³/atom; ρ = 8.27 g cm⁻³
1.0
3.568 0.000 0.000
0.000 5.067 -0.032
0.000 0.032 5.067
Ni Fe Ti
6 1 1
Direct
0.500 0.500 0.000
0.500 0.000 0.500
0.000 0.747 0.747
0.000 0.253 0.747
0.000 0.747 0.253
0.000 0.253 0.253
0.500 0.500 0.500
0.500 0.000 0.000

=====

*B*
TiFeNi6, relaxed, DFT GGA-PBE; V = 13.0 Å³/atom; ρ = 7.30 g cm⁻³
1.0
4.239 0.724 -0.028
1.041 4.172 -0.028
1.505 1.396 6.108
Ni Fe Ti
6 1 1
Direct
0.058 0.541 0.299
0.459 0.942 0.701
0.643 0.643 0.060
0.357 0.357 0.940
0.541 0.058 0.299
0.942 0.459 0.701
0.000 0.000 0.000
0.500 0.500 0.500

=====

Which of them is the least stable? Correct choice: *B*.